Entry from the Alexandria database: a relaxed Ce5Zr2Sc4 crystal (GGA-PBE).

Structure (POSCAR):
```
Ce5Zr2Sc4
1.0
3.1751 0.0000 0.0000
0.0000 8.1111 -0.4036
0.0000 -0.3570 10.8865
Ce Zr Sc
5 2 4
Cartesian
0.0000 4.4254 2.7203
0.0000 1.7108 1.9041
0.0000 4.0556 -0.2018
0.0000 6.0433 8.5789
0.0000 3.3287 7.7627
0.0000 0.1270 6.8935
0.0000 7.6271 3.5895
1.5875 5.5729 5.5465
1.5875 0.8694 9.6770
1.5875 2.1812 4.9364
1.5875 6.8847 0.8059
```

Results
The calculated formation energy comes out at 81 meV per atom. The total magnetization comes out at 0.0000 μB per atom. Its crystal system is monoclinic. For the raw total energy, the calculation gives -6.47 eV per atom.